The following is a DFT calculation (GGA+U) of a relaxed LiNiP2O crystal.

Computed properties:
Energy above the most stable polymorph in this dataset (kJ/mol of formula units): 0
Symmetry: P4/mmm, No. 123
E_tot (eV/atom): -3.7095
Crystal system: tetragonal

```
LiNiP2O
1.0
4.6176 0.0000 0.0000
0.0000 4.6176 0.0000
0.0000 0.0000 3.5199
Li Ni P O
1 1 2 1
direct
0.0000 0.0000 0.0000 Li
0.5000 0.5000 0.5000 Ni
0.0000 0.5000 0.5000 P
0.5000 0.0000 0.5000 P
0.5000 0.5000 0.0000 O
```